Entry 1:
An optimized crystal structure of LiInPt14. Source: Alexandria, functional PBE-GGA.

The structure in POSCAR format:
```
LiInPt14
1.0
5.567 -0.335 0.000
-2.490 4.990 0.000
0.000 0.000 9.330
Pt In Li
14 1 1
direct
0.710 0.791 0.000
0.209 0.290 0.000
0.876 0.124 0.256
0.539 0.960 0.500
0.877 0.628 0.254
0.710 0.290 0.000
0.876 0.124 0.744
0.372 0.123 0.254
0.372 0.123 0.746
0.877 0.628 0.746
0.374 0.626 0.748
0.040 0.461 0.500
0.374 0.626 0.252
0.210 0.790 0.000
0.541 0.459 0.500
0.042 0.958 0.500
```

The value obtained for the raw total energy is -5.739 eV per atom. For the formation energy from the elements, the calculation gives -15.7 kJ/mol of atoms. Its crystal system is orthorhombic. For the total magnetization, the calculation gives 0.0 μB/f.u.

***

Entry 2:
An optimized crystal structure of Li5InPt. Source: Alexandria, functional PBE-GGA.

The structure in POSCAR format:
```
Li5InPt
1.0
9.167 0.000 0.000
0.000 5.289 0.000
-4.584 -2.645 2.510
Li In Pt
5 1 1
direct
0.085 0.500 0.000
0.355 0.776 0.000
0.324 0.246 0.492
0.355 0.224 0.000
0.832 0.754 0.508
0.763 0.000 0.000
0.817 0.500 0.000
```

The value obtained for the raw total energy is -2.864 eV per atom. For the formation energy from the elements, the calculation gives -23.4 kJ/mol of atoms. As for the excess energy over the best structure of this formula in the dataset: 1.83 kJ per mole of atoms. Its crystal system is orthorhombic. For the total magnetization, the calculation gives 0.0 μB/f.u.

***

Entry 3:
An optimized crystal structure of LiInPt3. Source: Alexandria, functional PBE-GGA.

The structure in POSCAR format:
```
LiInPt3
1.0
4.311 0.000 0.000
0.000 4.311 0.000
0.000 0.000 4.311
Pt In Li
3 1 1
direct
0.000 0.500 0.000
0.500 0.000 0.000
0.000 0.000 0.500
0.500 0.500 0.500
0.000 0.000 0.000
```

The value obtained for the raw total energy is -4.487 eV per atom. For the formation energy from the elements, the calculation gives 6.6 kJ/mol of atoms. As for the excess energy over the best structure of this formula in the dataset: 0.00 kJ per mole of atoms. Its crystal system is cubic. For the total magnetization, the calculation gives 0.0 μB/f.u.

***

Entry 4:
An optimized crystal structure of LiInPt. Source: Alexandria, functional PBE-GGA.

The structure in POSCAR format:
```
LiInPt
1.0
2.903 0.000 0.000
0.000 7.713 0.000
0.000 -3.856 6.679
Li Pt In
3 3 3
direct
0.500 0.000 0.309
0.500 0.691 0.691
0.500 0.309 0.000
0.000 0.641 0.000
0.000 0.000 0.641
0.000 0.359 0.359
0.500 0.667 0.333
0.500 0.333 0.667
0.000 0.000 0.000
```

The value obtained for the raw total energy is -4.084 eV per atom. For the formation energy from the elements, the calculation gives -50.1 kJ/mol of atoms. Its crystal system is hexagonal. For the total magnetization, the calculation gives 0.0 μB/f.u.

***

Entry 5:
An optimized crystal structure of LiIn2Pt2. Source: Alexandria, functional PBE-GGA.

The structure in POSCAR format:
```
LiIn2Pt2
1.0
-0.440 1.036 -4.266
1.799 -3.868 -1.125
-4.497 -3.810 -2.742
In Pt Li
2 2 1
direct
0.750 0.250 0.500
0.250 0.750 0.500
0.388 0.388 0.223
0.612 0.612 0.777
0.000 0.000 0.000
```

The value obtained for the raw total energy is -4.221 eV per atom. For the formation energy from the elements, the calculation gives -31.5 kJ/mol of atoms. As for the excess energy over the best structure of this formula in the dataset: 18.15 kJ per mole of atoms. Its crystal system is tetragonal. For the total magnetization, the calculation gives 0.0 μB/f.u.

***

Entry 6:
An optimized crystal structure of Li4InPt. Source: Alexandria, functional PBE-GGA.

The structure in POSCAR format:
```
Li4InPt
1.0
0.000 3.508 3.508
3.508 0.000 3.508
3.508 3.508 0.000
Li In Pt
4 1 1
direct
0.377 0.377 0.869
0.869 0.377 0.377
0.377 0.377 0.377
0.377 0.869 0.377
0.000 0.000 0.000
0.750 0.750 0.750
```

The value obtained for the raw total energy is -3.016 eV per atom. For the formation energy from the elements, the calculation gives -26.7 kJ/mol of atoms. As for the excess energy over the best structure of this formula in the dataset: 14.24 kJ per mole of atoms. Its crystal system is cubic. For the total magnetization, the calculation gives 0.0 μB/f.u.

***

Entry 7:
An optimized crystal structure of LiIn3Pt12. Source: Alexandria, functional PBE-GGA.

The structure in POSCAR format:
```
LiIn3Pt12
1.0
-1.773 -2.693 2.396
3.528 -1.846 0.535
2.951 9.305 12.640
Pt Li In
12 1 3
direct
0.500 0.500 0.245
0.500 0.500 0.755
0.500 0.000 0.116
0.500 0.500 0.500
0.500 0.000 0.884
0.000 0.500 0.884
0.500 0.000 0.628
0.500 0.000 0.372
0.000 0.500 0.372
0.500 0.500 0.000
0.000 0.500 0.116
0.000 0.500 0.628
0.000 0.000 0.000
0.000 0.000 0.244
0.000 0.000 0.500
0.000 0.000 0.756
```

The value obtained for the raw total energy is -5.538 eV per atom. For the formation energy from the elements, the calculation gives -36.2 kJ/mol of atoms. Its crystal system is tetragonal. For the total magnetization, the calculation gives 0.0 μB/f.u.

***

Entry 8:
An optimized crystal structure of Li3In2Pt2. Source: Alexandria, functional PBE-GGA.

The structure in POSCAR format:
```
Li3In2Pt2
1.0
-3.301 1.384 2.826
1.505 -4.302 0.160
6.167 2.191 2.391
Li Pt In
3 2 2
direct
0.000 0.000 0.000
0.281 0.139 0.420
0.719 0.861 0.580
0.145 0.574 0.719
0.855 0.426 0.281
0.440 0.719 0.158
0.560 0.281 0.842
```

The value obtained for the raw total energy is -3.883 eV per atom. For the formation energy from the elements, the calculation gives -53.5 kJ/mol of atoms. Its crystal system is monoclinic. For the total magnetization, the calculation gives 0.0 μB/f.u.

***

Entry 9:
An optimized crystal structure of Li7InPt2. Source: Alexandria, functional PBE-GGA.

The structure in POSCAR format:
```
Li7InPt2
1.0
-3.212 1.364 3.216
1.767 -5.472 4.085
3.686 5.897 1.181
Li In Pt
7 1 2
direct
0.500 0.935 0.680
0.500 0.065 0.320
0.500 0.680 0.935
0.000 0.330 0.670
0.500 0.320 0.065
0.000 0.670 0.330
0.500 0.500 0.500
0.000 0.000 0.000
0.500 0.295 0.705
0.500 0.705 0.295
```

The value obtained for the raw total energy is -2.958 eV per atom. For the formation energy from the elements, the calculation gives -13.2 kJ/mol of atoms. Its crystal system is orthorhombic. For the total magnetization, the calculation gives 0.0 μB/f.u.

***

Entry 10:
An optimized crystal structure of Li6In2Pt. Source: Alexandria, functional PBE-GGA.

The structure in POSCAR format:
```
Li6In2Pt
1.0
2.927 -0.326 -0.312
0.701 7.476 -0.681
0.701 -0.353 7.499
In Li Pt
2 6 1
direct
0.005 0.711 0.711
0.995 0.289 0.289
0.508 0.702 0.028
0.492 0.972 0.298
0.492 0.298 0.972
0.508 0.028 0.702
0.500 0.620 0.380
0.500 0.380 0.620
0.000 0.000 0.000
```

The value obtained for the raw total energy is -2.805 eV per atom. For the formation energy from the elements, the calculation gives -24.0 kJ/mol of atoms. As for the excess energy over the best structure of this formula in the dataset: 0.00 kJ per mole of atoms. Its crystal system is monoclinic. For the total magnetization, the calculation gives 0.0 μB/f.u.

***

Entry 11:
An optimized crystal structure of Li4InPt. Source: Alexandria, functional PBE-GGA.

The structure in POSCAR format:
```
Li4InPt
1.0
-2.166 1.566 -3.527
1.802 -4.041 -0.124
-4.686 -2.145 1.926
Li Pt In
4 1 1
direct
0.337 0.166 0.724
0.670 0.832 0.724
0.671 0.833 0.273
0.338 0.167 0.272
0.004 0.499 0.498
0.004 0.499 0.998
```

The value obtained for the raw total energy is -3.163 eV per atom. For the formation energy from the elements, the calculation gives -40.9 kJ/mol of atoms. As for the excess energy over the best structure of this formula in the dataset: 0.00 kJ per mole of atoms. Its crystal system is hexagonal. For the total magnetization, the calculation gives 0.0 μB/f.u.

***

Entry 12:
An optimized crystal structure of LiInPt. Source: Alexandria, functional PBE-GGA.

The structure in POSCAR format:
```
LiInPt
1.0
4.935 0.002 0.002
2.488 4.263 -0.002
-3.371 -2.724 2.360
Li In Pt
1 1 1
direct
0.324 0.324 0.000
0.003 0.003 0.000
0.673 0.673 0.000
```

The value obtained for the raw total energy is -4.097 eV per atom. For the formation energy from the elements, the calculation gives -51.3 kJ/mol of atoms. Its crystal system is orthorhombic. For the total magnetization, the calculation gives 0.0 μB/f.u.

***

Entry 13:
An optimized crystal structure of Li2In4Pt. Source: Alexandria, functional PBE-GGA.

The structure in POSCAR format:
```
Li2In4Pt
1.0
5.127 0.000 0.000
0.000 5.127 0.000
2.564 2.564 7.086
In Li Pt
4 2 1
direct
0.500 0.000 0.000
0.805 0.805 0.390
0.195 0.195 0.610
0.000 0.500 0.000
0.614 0.614 0.773
0.386 0.386 0.227
0.000 0.000 0.000
```

The value obtained for the raw total energy is -3.064 eV per atom. For the formation energy from the elements, the calculation gives -8.6 kJ/mol of atoms. Its crystal system is tetragonal. For the total magnetization, the calculation gives 0.0 μB/f.u.